{"formula": "MnNi2BiF", "functional": "GGA+U", "state": "optimized geometry", "dos_at_fermi_per_ev_cell": 3.4, "spacegroup": "P4/mmm, No. 123", "magmom_total_mub_per_fu": 5.5, "final_energy_ev_per_atom": -2.722, "cell": [[4.694, 0.000, 0.000], [0.000, 4.694, 0.000], [0.000, 0.000, 5.097]], "species": ["Mn", "Ni", "Ni", "Bi", "F"], "frac_coords": [[0.000, 0.000, 0.000], [0.000, 0.500, 0.000], [0.500, 0.000, 0.000], [0.000, 0.000, 0.500], [0.500, 0.500, 0.500]]}